# Ce5Tl2Os2

Ce5Tl2Os2 after structural relaxation (PBE, Alexandria via LeMat-Bulk).

```
Ce5Tl2Os2
1.0
-3.0860 3.7500 1.3644
-1.4055 -1.7255 -7.7621
-3.6851 -4.1196 2.9875
Tl Os Ce
2 2 5
Direct
0.5749 0.1498 0.3385
0.4251 0.8502 0.6615
0.8297 0.6594 0.8563
0.1703 0.3406 0.1437
0.1892 0.3784 0.6215
0.6581 0.3162 0.8864
0.3419 0.6838 0.1136
0.0000 0.0000 0.0000
0.8108 0.6216 0.3785
```

Properties
DFT formation energy = -0.14 eV/atom
Space-group type = C2/m (12)
N(E_F) = 2.32 states/eV/atom
Theoretical density = 10.45 g/cm³